(1)
CrInN2 after structural relaxation. Source: Alexandria via LeMat-Bulk, functional PBE.

V, Å³/f.u.: 59
DOS(E_F), states/eV/cell: 1.79
Formation energy (no corrections), eV per formula unit: 2.25
Spin magnetization, μB per formula unit: 2.21

Cell lengths 6.243, 6.243, 6.243 Å; angles 31.51, 31.51, 31.51 degrees
Site moments in Bohr magnetons follow the coordinates.
Fractional coordinates of all 4 atoms:
1 N 0.900 0.900 0.900  -0.14
2 Cr 0.000 0.000 0.000  2.28
3 In 0.500 0.500 0.500  0.01
4 N 0.100 0.100 0.100  -0.14


(2)
CrIn2N2 after structural relaxation. Source: Alexandria via LeMat-Bulk, functional PBE.

V, Å³/f.u.: 75
DOS(E_F), states/eV/cell: 3.97
Formation energy (no corrections), eV per formula unit: 6.40
Spin magnetization, μB per formula unit: 4.44

Cell lengths 6.951, 6.951, 3.114 Å; angles 90.00, 90.00, 90.00 degrees
Site moments in Bohr magnetons follow the coordinates.
Fractional coordinates of all 10 atoms:
1 In 0.144 0.356 0.000  0.00
2 Cr 0.500 0.500 0.000  3.90
3 In 0.856 0.644 0.000  0.00
4 In 0.644 0.144 0.000  0.01
5 N 0.167 0.667 0.500  0.03
6 Cr 0.000 0.000 0.000  3.90
7 N 0.667 0.833 0.500  0.03
8 In 0.356 0.856 0.000  0.01
9 N 0.333 0.167 0.500  0.03
10 N 0.833 0.333 0.500  0.02


(3)
CrInN2 after structural relaxation. Source: Alexandria via LeMat-Bulk, functional PBE.

V, Å³/f.u.: 49
DOS(E_F), states/eV/cell: 2.13
Formation energy (no corrections), eV per formula unit: 0.41
Spin magnetization, μB per formula unit: 1.10

Cell lengths 6.824, 6.824, 6.824 Å; angles 24.69, 24.69, 24.69 degrees
Site moments in Bohr magnetons follow the coordinates.
Fractional coordinates of all 4 atoms:
1 In 0.000 0.000 0.000  0.00
2 Cr 0.500 0.500 0.500  1.46
3 N 0.114 0.114 0.114  -0.17
4 N 0.886 0.886 0.886  -0.17


(4)
CrInN2 after structural relaxation. Source: Alexandria via LeMat-Bulk, functional PBE.

V, Å³/f.u.: 63
DOS(E_F), states/eV/cell: 4.53
Formation energy (no corrections), eV per formula unit: 0.00
Spin magnetization, μB per formula unit: 0.00

Cell lengths 5.524, 5.524, 5.692 Å; angles 60.97, 60.97, 90.00 degrees
Fractional coordinates of all 8 atoms:
1 N 0.375 0.557 0.750
2 N 0.307 0.625 0.250
3 N 0.443 0.125 0.250
4 In 0.750 0.250 0.500
5 Cr 0.250 0.750 0.500
6 Cr 0.500 0.500 0.000
7 N 0.875 0.693 0.750
8 In 0.000 0.000 0.000


(5)
CrIn3N after structural relaxation. Source: Alexandria via LeMat-Bulk, functional PBE.

V, Å³/f.u.: 142
DOS(E_F), states/eV/cell: 2.49
Formation energy (no corrections), eV per formula unit: 6.46
Spin magnetization, μB per formula unit: 5.87

Cell lengths 5.218, 5.218, 5.218 Å; angles 90.00, 90.00, 90.00 degrees
Site moments in Bohr magnetons follow the coordinates.
Fractional coordinates of all 5 atoms:
1 In 0.000 0.500 0.000  0.03
2 In 0.000 0.000 0.500  0.06
3 Cr 0.000 0.000 0.000  3.19
4 N 0.500 0.500 0.500  1.56
5 In 0.500 0.000 0.000  -0.02


(6)
CrInN3 after structural relaxation. Source: Alexandria via LeMat-Bulk, functional PBE.

V, Å³/f.u.: 72
DOS(E_F), states/eV/cell: 2.30
Formation energy (no corrections), eV per formula unit: 9.87
Spin magnetization, μB per formula unit: 0.41

Cell lengths 4.163, 4.163, 4.163 Å; angles 90.00, 90.00, 90.00 degrees
Site moments in Bohr magnetons follow the coordinates.
Fractional coordinates of all 5 atoms:
1 N 0.000 0.500 0.000  0.96
2 N 0.000 0.000 0.500  0.77
3 Cr 0.500 0.500 0.500  -3.85
4 In 0.000 0.000 0.000  0.06
5 N 0.500 0.000 0.000  1.00


(7)
Cr5In3N12 after structural relaxation. Source: Alexandria via LeMat-Bulk, functional PBE.

V, Å³/f.u.: 223
DOS(E_F), states/eV/cell: 25.85
Formation energy (no corrections), eV per formula unit: 3.93
Spin magnetization, μB per formula unit: 3.01

Cell lengths 10.510, 10.510, 10.510 Å; angles 109.47, 109.47, 109.47 degrees
Site moments in Bohr magnetons follow the coordinates.
Fractional coordinates of all 80 atoms:
1 In 0.125 0.250 0.875  0.03
2 N 0.704 0.109 0.017  -0.12
3 N 0.204 0.686 0.094  -0.12
4 In 0.625 0.375 0.750  0.03
5 N 0.314 0.796 0.406  -0.12
6 N 0.592 0.983 0.686  -0.12
7 N 0.609 0.017 0.204  -0.12
8 N 0.686 0.483 0.592  -0.12
9 In 0.375 0.750 0.625  0.03
10 Cr 0.000 0.000 0.000  1.76
11 N 0.109 0.406 0.092  -0.12
12 Cr 0.375 0.125 0.750  0.31
13 N 0.296 0.891 0.983  -0.12
14 N 0.314 0.517 0.408  -0.12
15 In 0.125 0.875 0.750  0.03
16 N 0.908 0.814 0.517  -0.12
17 N 0.983 0.391 0.296  -0.12
18 In 0.250 0.625 0.875  0.03
19 N 0.517 0.314 0.908  -0.12
20 Cr 0.500 0.500 0.500  1.76
21 N 0.017 0.408 0.814  -0.12
22 N 0.092 0.186 0.483  -0.12
23 In 0.625 0.250 0.375  0.03
24 Cr 0.750 0.125 0.875  0.31
25 N 0.094 0.186 0.204  -0.12
26 Cr 0.750 0.625 0.375  0.31
27 Cr 0.125 0.750 0.375  0.31
28 N 0.092 0.906 0.109  -0.12
29 Cr 0.000 0.500 0.000  1.76
30 N 0.017 0.609 0.704  -0.12
31 N 0.814 0.908 0.017  -0.12
32 N 0.891 0.296 0.483  -0.12
33 N 0.594 0.891 0.408  -0.12
34 Cr 0.500 0.000 0.500  1.76
35 N 0.391 0.983 0.796  -0.12
36 N 0.406 0.109 0.592  -0.12
37 N 0.796 0.483 0.391  -0.12
38 N 0.906 0.092 0.609  -0.12
39 N 0.983 0.592 0.186  -0.12
40 Cr 0.500 0.000 0.000  1.76
41 N 0.908 0.094 0.891  -0.12
42 In 0.875 0.125 0.250  0.03
43 In 0.750 0.875 0.625  0.03
44 Cr 0.000 0.000 0.500  1.76
45 N 0.204 0.517 0.609  -0.12
46 In 0.375 0.625 0.250  0.03
47 N 0.408 0.017 0.314  -0.12
48 Cr 0.500 0.500 0.000  1.76
49 N 0.814 0.906 0.296  -0.12
50 Cr 0.375 0.250 0.125  0.31
51 N 0.609 0.592 0.906  -0.12
52 N 0.483 0.796 0.891  -0.12
53 N 0.686 0.204 0.594  -0.12
54 In 0.750 0.375 0.125  0.03
55 N 0.391 0.408 0.094  -0.12
56 N 0.517 0.204 0.109  -0.12
57 Cr 0.625 0.875 0.250  0.31
58 N 0.592 0.609 0.406  -0.12
59 Cr 0.125 0.375 0.250  0.31
60 N 0.891 0.594 0.908  -0.12
61 N 0.186 0.092 0.983  -0.12
62 In 0.875 0.750 0.125  0.03
63 N 0.408 0.391 0.594  -0.12
64 N 0.483 0.686 0.092  -0.12
65 N 0.186 0.094 0.704  -0.12
66 N 0.109 0.704 0.517  -0.12
67 N 0.594 0.704 0.686  -0.12
68 Cr 0.250 0.875 0.125  0.31
69 Cr 0.625 0.750 0.875  0.31
70 Cr 0.875 0.250 0.625  0.31
71 In 0.250 0.125 0.375  0.03
72 N 0.906 0.814 0.796  -0.12
73 Cr 0.000 0.500 0.500  1.76
74 N 0.704 0.594 0.186  -0.12
75 N 0.406 0.296 0.314  -0.12
76 Cr 0.250 0.375 0.625  0.31
77 N 0.796 0.314 0.906  -0.12
78 Cr 0.875 0.625 0.750  0.31
79 N 0.094 0.908 0.391  -0.12
80 N 0.296 0.406 0.814  -0.12


(8)
CrIn2N2 after structural relaxation. Source: Alexandria via LeMat-Bulk, functional PBE.

V, Å³/f.u.: 80
DOS(E_F), states/eV/cell: 3.02
Formation energy (no corrections), eV per formula unit: 4.58
Spin magnetization, μB per formula unit: 4.06

Cell lengths 4.176, 4.176, 5.475 Å; angles 67.58, 67.58, 90.00 degrees
Site moments in Bohr magnetons follow the coordinates.
Fractional coordinates of all 5 atoms:
1 In 0.342 0.342 0.317  -0.04
2 In 0.658 0.658 0.683  -0.04
3 Cr 0.000 0.000 0.000  4.07
4 N 0.250 0.750 0.500  -0.15
5 N 0.750 0.250 0.500  -0.15


It is found that the VASP energy values, taken in the order of the records, are -6.6897, -5.0711, -7.1504, -7.2540, -3.9418, -5.4936, -7.6155, -5.4341 eV per atom.